# Nd4Dy9Hg11 (PBE-GGA, optimized geometry)
data_Nd4Dy9Hg11
_cell_length_a 15.980
_cell_length_b 22.451
_cell_length_c 3.582
_cell_angle_alpha 90.00
_cell_angle_beta 90.00
_cell_angle_gamma 90.00
_space_group_name_H-M_alt 'C m m m'
_space_group_IT_number 65
_space_group_name_Hall '-C 2 2'
loop_
_atom_site_label
_atom_site_type_symbol
_atom_site_fract_x
_atom_site_fract_y
_atom_site_fract_z
Nd1 Nd 0.162 0.084 0.000
Dy1 Dy 0.000 0.000 0.000
Dy2 Dy 0.112 0.407 0.000
Dy3 Dy 0.117 0.234 0.000
Hg1 Hg 0.000 0.134 0.500
Hg2 Hg 0.000 0.319 0.500
Hg3 Hg 0.000 0.500 0.500
Hg4 Hg 0.211 0.500 0.500
Hg5 Hg 0.229 0.320 0.500
# E_form in kcal/mol of atoms: -8.6

---

# Nd5Dy2Hg4 (PBE-GGA, optimized geometry)
data_Nd5Dy2Hg4
_cell_length_a 21.965
_cell_length_b 3.791
_cell_length_c 8.589
_cell_angle_alpha 90.00
_cell_angle_beta 103.17
_cell_angle_gamma 90.00
_space_group_name_H-M_alt 'C 1 2/m 1'
_space_group_IT_number 12
loop_
_space_group_symop_operation_xyz
'x,y,z'
'-x,-y,-z'
'-x,y,-z'
'x,-y,z'
'x+1/2,y+1/2,z'
'-x+1/2,-y+1/2,-z'
'-x+1/2,y+1/2,-z'
'x+1/2,-y+1/2,z'
loop_
_atom_site_label
_atom_site_type_symbol
_atom_site_fract_x
_atom_site_fract_y
_atom_site_fract_z
Nd1 Nd 0.000 0.000 0.000
Nd2 Nd 0.153 0.500 0.982
Nd3 Nd 0.174 0.500 0.437
Dy1 Dy 0.073 0.000 0.641
Hg1 Hg 0.032 0.500 0.302
Hg2 Hg 0.216 0.000 0.753
# E_form in kcal/mol of atoms: -4.7

---

# Nd3Dy2Hg3 (PBE-GGA, optimized geometry)
data_Nd3Dy2Hg3
_cell_length_a 3.783
_cell_length_b 5.474
_cell_length_c 22.462
_cell_angle_alpha 90.00
_cell_angle_beta 90.00
_cell_angle_gamma 90.00
_space_group_name_H-M_alt 'I m m m'
_space_group_IT_number 71
_space_group_name_Hall '-I 2 2'
loop_
_atom_site_label
_atom_site_type_symbol
_atom_site_fract_x
_atom_site_fract_y
_atom_site_fract_z
Nd1 Nd 0.000 0.000 0.000
Nd2 Nd 0.000 0.500 0.122
Dy1 Dy 0.000 0.000 0.234
Hg1 Hg 0.000 0.000 0.500
Hg2 Hg 0.000 0.500 0.377
# E_form in kcal/mol of atoms: -8.2

---

# NdDy3Hg2 (PBE-GGA, optimized geometry)
data_NdDy3Hg2
_cell_length_a 5.122
_cell_length_b 9.320
_cell_length_c 7.186
_cell_angle_alpha 90.00
_cell_angle_beta 90.00
_cell_angle_gamma 90.00
_space_group_name_H-M_alt 'P m c 21'
_space_group_IT_number 26
loop_
_space_group_symop_operation_xyz
'x,y,z'
'-x,-y,z+1/2'
'-x,y,z'
'x,-y,z+1/2'
loop_
_atom_site_label
_atom_site_type_symbol
_atom_site_fract_x
_atom_site_fract_y
_atom_site_fract_z
Nd1 Nd 0.000 0.057 0.000
Dy1 Dy 0.000 0.328 0.652
Dy2 Dy 0.500 0.179 0.318
Dy3 Dy 0.500 0.443 0.969
Hg1 Hg 0.000 0.355 0.227
Hg2 Hg 0.500 0.150 0.742
# E_form in kcal/mol of atoms: -8.0

---

# NdDy2HgO (PBE-GGA, optimized geometry)
data_NdDy2HgO
_cell_length_a 4.777
_cell_length_b 4.777
_cell_length_c 4.942
_cell_angle_alpha 90.00
_cell_angle_beta 90.00
_cell_angle_gamma 90.00
_space_group_name_H-M_alt 'P 4/m m m'
_space_group_IT_number 123
_space_group_name_Hall '-P 4 2'
loop_
_atom_site_label
_atom_site_type_symbol
_atom_site_fract_x
_atom_site_fract_y
_atom_site_fract_z
Nd1 Nd 0.000 0.000 0.000
Dy1 Dy 0.000 0.500 0.500
Hg1 Hg 0.500 0.500 0.000
O1 O 0.000 0.000 0.500
# Formation energy without anion corrections in meV/atom: -1361.3

---

# NdDyHgOs (PBE-GGA, optimized geometry)
data_NdDyHgOs
_cell_length_a 7.212
_cell_length_b 7.212
_cell_length_c 7.212
_cell_angle_alpha 90.00
_cell_angle_beta 90.00
_cell_angle_gamma 90.00
_space_group_name_H-M_alt 'F -4 3 m'
_space_group_IT_number 216
_space_group_name_Hall 'F -4 2 3'
loop_
_atom_site_label
_atom_site_type_symbol
_atom_site_fract_x
_atom_site_fract_y
_atom_site_fract_z
Nd1 Nd 0.000 0.000 0.000
Dy1 Dy 0.000 0.000 0.500
Hg1 Hg 0.250 0.250 0.750
Os1 Os 0.250 0.250 0.250
# E_form in kcal/mol of atoms: -4.2

---

# Pr2NdDyHg2 (PBE-GGA, optimized geometry)
data_Pr2NdDyHg2
_cell_length_a 5.211
_cell_length_b 9.584
_cell_length_c 7.317
_cell_angle_alpha 90.00
_cell_angle_beta 90.00
_cell_angle_gamma 90.00
_space_group_name_H-M_alt 'P m c 21'
_space_group_IT_number 26
loop_
_space_group_symop_operation_xyz
'x,y,z'
'-x,-y,z+1/2'
'-x,y,z'
'x,-y,z+1/2'
loop_
_atom_site_label
_atom_site_type_symbol
_atom_site_fract_x
_atom_site_fract_y
_atom_site_fract_z
Pr1 Pr 0.000 0.059 0.000
Pr2 Pr 0.500 0.173 0.317
Nd1 Nd 0.500 0.443 0.971
Dy1 Dy 0.000 0.324 0.652
Hg1 Hg 0.000 0.362 0.230
Hg2 Hg 0.500 0.155 0.746
# E_form in kcal/mol of atoms: -7.6

---

# PrNdDyHg (PBE-GGA, optimized geometry)
data_PrNdDyHg
_cell_length_a 7.843
_cell_length_b 7.843
_cell_length_c 7.843
_cell_angle_alpha 90.00
_cell_angle_beta 90.00
_cell_angle_gamma 90.00
_space_group_name_H-M_alt 'F -4 3 m'
_space_group_IT_number 216
_space_group_name_Hall 'F -4 2 3'
loop_
_atom_site_label
_atom_site_type_symbol
_atom_site_fract_x
_atom_site_fract_y
_atom_site_fract_z
Pr1 Pr 0.000 0.000 0.000
Nd1 Nd 0.000 0.000 0.500
Dy1 Dy 0.250 0.250 0.750
Hg1 Hg 0.250 0.250 0.250
# E_form in kcal/mol of atoms: -1.7

---

# PrNdDyHg (PBE-GGA, optimized geometry)
data_PrNdDyHg
_cell_length_a 3.717
_cell_length_b 3.717
_cell_length_c 8.945
_cell_angle_alpha 90.00
_cell_angle_beta 90.00
_cell_angle_gamma 90.00
_space_group_name_H-M_alt 'P 4 m m'
_space_group_IT_number 99
loop_
_space_group_symop_operation_xyz
'x,y,z'
'-y,x,z'
'-x,-y,z'
'y,-x,z'
'-x,y,z'
'y,x,z'
'x,-y,z'
'-y,-x,z'
loop_
_atom_site_label
_atom_site_type_symbol
_atom_site_fract_x
_atom_site_fract_y
_atom_site_fract_z
Pr1 Pr 0.000 0.000 0.000
Nd1 Nd 0.500 0.500 0.712
Dy1 Dy 0.500 0.500 0.278
Hg1 Hg 0.000 0.000 0.478
# E_form in kcal/mol of atoms: -5.4

---

# NdDyHgRh (PBE-GGA, optimized geometry)
data_NdDyHgRh
_cell_length_a 7.266
_cell_length_b 7.266
_cell_length_c 7.266
_cell_angle_alpha 90.00
_cell_angle_beta 90.00
_cell_angle_gamma 90.00
_space_group_name_H-M_alt 'F -4 3 m'
_space_group_IT_number 216
_space_group_name_Hall 'F -4 2 3'
loop_
_atom_site_label
_atom_site_type_symbol
_atom_site_fract_x
_atom_site_fract_y
_atom_site_fract_z
Nd1 Nd 0.000 0.000 0.000
Dy1 Dy 0.000 0.000 0.500
Hg1 Hg 0.250 0.250 0.750
Rh1 Rh 0.250 0.250 0.250
# E_form in kcal/mol of atoms: -12.8

---

# NdDyHgSb (PBE-GGA, optimized geometry)
data_NdDyHgSb
_cell_length_a 7.597
_cell_length_b 7.597
_cell_length_c 7.597
_cell_angle_alpha 90.00
_cell_angle_beta 90.00
_cell_angle_gamma 90.00
_space_group_name_H-M_alt 'F -4 3 m'
_space_group_IT_number 216
_space_group_name_Hall 'F -4 2 3'
loop_
_atom_site_label
_atom_site_type_symbol
_atom_site_fract_x
_atom_site_fract_y
_atom_site_fract_z
Nd1 Nd 0.000 0.000 0.000
Dy1 Dy 0.000 0.000 0.500
Hg1 Hg 0.250 0.250 0.750
Sb1 Sb 0.250 0.250 0.250
# Formation energy without anion corrections in meV/atom: -632.7

---

# NdDyScHg (PBE-GGA, optimized geometry)
data_NdDyScHg
_cell_length_a 7.605
_cell_length_b 7.605
_cell_length_c 7.605
_cell_angle_alpha 90.00
_cell_angle_beta 90.00
_cell_angle_gamma 90.00
_space_group_name_H-M_alt 'F -4 3 m'
_space_group_IT_number 216
_space_group_name_Hall 'F -4 2 3'
loop_
_atom_site_label
_atom_site_type_symbol
_atom_site_fract_x
_atom_site_fract_y
_atom_site_fract_z
Nd1 Nd 0.000 0.000 0.000
Dy1 Dy 0.000 0.000 0.500
Sc1 Sc 0.250 0.250 0.250
Hg1 Hg 0.250 0.250 0.750
# E_form in kcal/mol of atoms: -1.9

---

# NdDySc2Hg4 (PBE-GGA, optimized geometry)
data_NdDySc2Hg4
_cell_length_a 5.1673
_cell_length_b 5.1673
_cell_length_c 25.4718
_cell_angle_alpha 90.00
_cell_angle_beta 90.00
_cell_angle_gamma 120.00
_space_group_name_H-M_alt 'R -3 m'
_space_group_IT_number 166
_space_group_name_Hall '-R 3 2"'
loop_
_atom_site_label
_atom_site_type_symbol
_atom_site_fract_x
_atom_site_fract_y
_atom_site_fract_z
Nd1 Nd 0.0000 0.0000 0.0000
Dy1 Dy 0.0000 0.0000 0.5000
Sc1 Sc 0.0000 0.0000 0.2495
Hg1 Hg 0.0000 0.0000 0.1273
Hg2 Hg 0.0000 0.0000 0.3780
# E_form in kcal/mol of atoms: -10.0

---

Number 1: total energy -145.46 eV/cell. Number 2: total energy -72.95 eV/cell. Number 3: total energy -54.50 eV/cell. Number 4: total energy -42.52 eV/cell. Number 5: total energy -26.04 eV/cell. Number 6: total energy -86.49 eV/cell. Number 7: total energy -43.00 eV/cell. Number 8: total energy -59.00 eV/cell. Number 9: total energy -15.39 eV/cell. Number 10: total energy -76.97 eV/cell. Number 11: total energy -65.30 eV/cell. Number 12: total energy -65.34 eV/cell. Number 13: total energy -80.11 eV/cell.